(1)
This record from Alexandria via LeMat-Bulk describes crystalline ErTl2Ni at its relaxed geometry. The functional is PBE-GGA.

Cell lengths 3.5115, 3.5115, 29.4363 Å; angles 90.00, 90.00, 120.00 degrees
Space group R-3m (No. 166, hexagonal axes)
Asymmetric unit:
Er 0.0000 0.0000 0.0000 (multiplicity 3)
Tl 0.0000 0.0000 0.1058 (multiplicity 6)
Ni 0.0000 0.0000 0.5000 (multiplicity 3)

Output
Fermi-level density of states, states/eV/f.u.: 3.18
Calculated total energy, eV/cell: -41.3
ΔH_f (0 K), eV/atom: 0.3263
Spin magnetization, μB per atom: 0.00



(2)
This record from Alexandria via LeMat-Bulk describes crystalline Er8Tl2Ni3 at its relaxed geometry. The functional is PBE-GGA.

Cell lengths 14.449, 6.948, 7.498 Å; angles 90.00, 110.07, 90.00 degrees
Space group C2/m (No. 12)
Asymmetric unit:
Er 0.102 0.248 0.377 (multiplicity 8)
Er 0.105 0.500 0.969 (multiplicity 4)
Er 0.130 0.000 0.844 (multiplicity 4)
Tl 0.235 0.500 0.725 (multiplicity 4)
Ni 0.000 0.000 0.500 (multiplicity 2)
Ni 0.000 0.180 0.000 (multiplicity 4)

Output
Fermi-level density of states, states/eV/f.u.: 12.46
Calculated total energy, eV/cell: -121.4
ΔH_f (0 K), eV/atom: -0.1647
Spin magnetization, μB per atom: 0.00



(3)
This record from Alexandria via LeMat-Bulk describes crystalline Er3TlNi at its relaxed geometry. The functional is PBE-GGA.

Cell lengths 9.928, 14.430, 3.775 Å; angles 90.00, 90.00, 90.00 degrees
Space group Cmmm (No. 65)
Asymmetric unit:
Er 0.000 0.187 0.000 (multiplicity 4)
Er 0.204 0.377 0.500 (multiplicity 8)
Tl 0.000 0.000 0.500 (multiplicity 2)
Tl 0.000 0.500 0.000 (multiplicity 2)
Ni 0.250 0.250 0.000 (multiplicity 4)

Output
Fermi-level density of states, states/eV/f.u.: 5.28
Calculated total energy, eV/cell: -92.0
Energy relative to the lowest polymorph listed for this composition, meV/atom: 84
ΔH_f (0 K), eV/atom: -0.2343
Spin magnetization, μB per atom: 0.00



(4)
This record from Alexandria via LeMat-Bulk describes crystalline Er3TlNi at its relaxed geometry. The functional is PBE-GGA.

Cell lengths 5.153, 5.153, 5.153 Å; angles 90.00, 90.00, 90.00 degrees
Space group Pm-3m (No. 221)
Asymmetric unit:
Er 0.000 0.000 0.500 (multiplicity 3)
Tl 0.500 0.500 0.500 (multiplicity 1)
Ni 0.000 0.000 0.000 (multiplicity 1)

Output
Fermi-level density of states, states/eV/f.u.: 6.54
Calculated total energy, eV/cell: -22.7
Energy relative to the lowest polymorph listed for this composition, meV/atom: 138
ΔH_f (0 K), eV/atom: -0.1810
Spin magnetization, μB per atom: 0.00



(5)
This record from Alexandria via LeMat-Bulk describes crystalline Er6TlNi at its relaxed geometry. The functional is PBE-GGA.

Cell lengths 6.896, 6.904, 7.147 Å; angles 90.08, 118.72, 119.91 degrees
Space group P-1 (No. 2)
Asymmetric unit:
Er 0.052 0.081 0.261 (multiplicity 2)
Er 0.290 0.709 0.261 (multiplicity 2)
Er 0.318 0.528 0.739 (multiplicity 2)
Tl 0.500 0.000 0.000 (multiplicity 1)
Ni 0.500 0.500 0.500 (multiplicity 1)

Output
Fermi-level density of states, states/eV/f.u.: 9.92
Calculated total energy, eV/cell: -35.3
ΔH_f (0 K), eV/atom: 0.0300
Spin magnetization, μB per atom: 0.00



(6)
This record from Alexandria via LeMat-Bulk describes crystalline Er4Tl3Ni at its relaxed geometry. The functional is PBE-GGA.

Cell lengths 3.530, 3.530, 15.910 Å; angles 90.00, 90.00, 90.00 degrees
Space group P4/mmm (No. 123)
Asymmetric unit:
Er 0.000 0.000 0.099 (multiplicity 2)
Er 0.000 0.000 0.366 (multiplicity 2)
Tl 0.500 0.500 0.235 (multiplicity 2)
Tl 0.500 0.500 0.500 (multiplicity 1)
Ni 0.500 0.500 0.000 (multiplicity 1)

Output
Fermi-level density of states, states/eV/f.u.: 5.88
Calculated total energy, eV/cell: -33.9
ΔH_f (0 K), eV/atom: -0.3432
Spin magnetization, μB per atom: 0.04